A | Compound: YSiN2F
Source: Alexandria via LeMat-Bulk
Functional: PBE
Structure: relaxed

DOS(E_F): 0.26 states/eV per atom
total magnetic moment: 2.01 μB per cell

Geometry as POSCAR:
```
YSiN2F
1.0
4.5114 0.0000 0.0000
0.0000 4.5114 0.0000
0.0000 0.0000 4.2271
Y Si N F
1 1 2 1
direct
0.0000 0.0000 0.0000
0.5000 0.5000 0.5000
0.0000 0.5000 0.0000
0.5000 0.0000 0.0000
0.0000 0.0000 0.5000
```

---

B | Compound: YSiN2F
Source: Alexandria via LeMat-Bulk
Functional: PBE
Structure: relaxed

DOS(E_F): 0.03 states/eV per atom
total magnetic moment: 0.00 μB per cell

Geometry as POSCAR:
```
YSiN2F
1.0
3.7332 0.0000 0.0000
0.0000 3.7332 0.0000
0.0000 0.0000 3.6669
Y Si N F
1 1 2 1
direct
0.0000 0.0000 0.0000
0.5000 0.5000 0.5000
0.0000 0.5000 0.5000
0.5000 0.0000 0.5000
0.5000 0.5000 0.0000
```

---

B wins, 1.493 eV/atom ahead of the next structure.